Entry 1:
LiTiTl3 | GGA-PBEsol | optimized geometry

extended XYZ file:
```
5
Lattice="4.8839 0.0000 0.0000 0.0000 4.8839 0.0000 0.0000 0.0000 4.8839" Properties=species:S:1:pos:R:3 pbc="T T T"
Tl 0.0000 0.0000 2.4419
Tl 0.0000 2.4419 0.0000
Tl 2.4419 0.0000 0.0000
Ti 2.4419 2.4419 2.4419
Li 0.0000 0.0000 0.0000
```

Values from the calculation:
SG: Pm-3m, No. 221
Volume (Å³ per cell): 116
Energy of formation (eV per atom): 0.5210

=====

Entry 2:
LiLaAl2Sn | GGA-PBEsol | optimized geometry

extended XYZ file:
```
5
Lattice="-2.7580 1.8682 4.1228 1.5466 -4.3619 3.0112 4.4541 2.7698 1.7246" Properties=species:S:1:pos:R:3 pbc="T T T"
Sn 1.6213 0.1381 4.4293
Al 2.2271 1.3849 0.8623
Al 0.7733 -2.1809 1.5056
Li -1.3790 0.9341 2.0614
La 0.0000 0.0000 0.0000
```

Values from the calculation:
SG: P4/mmm, No. 123
Volume (Å³ per cell): 162
Energy of formation (eV per atom): 1.1216

=====

Entry 3:
BaTa2In | GGA-PBEsol | optimized geometry

extended XYZ file:
```
4
Lattice="3.0223 0.0000 0.0000 -1.5112 4.6123 0.0111 0.0000 -0.6083 7.3368" Properties=species:S:1:pos:R:3 pbc="T T T"
Ta 0.0000 -0.5698 7.1592
Ta 0.0000 1.9573 6.1232
In 1.5112 2.1080 1.3519
Ba 0.0000 4.2083 3.7299
```

Values from the calculation:
SG: Cm, No. 8
Volume (Å³ per cell): 102
Energy above the lowest structure with this stoichiometry (eV per atom): 0.134
Energy of formation (eV per atom): 0.5724

=====

Entry 4:
Ta4Fe4Si7 | GGA-PBEsol | optimized geometry

extended XYZ file:
```
30
Lattice="4.9545 0.0000 0.0000 2.4773 8.7851 0.0000 2.4773 0.0000 8.7851" Properties=species:S:1:pos:R:3 pbc="T T T"
Si 4.9545 3.5583 5.2267
Si 4.9545 5.1075 0.0000
Si 4.9545 6.1534 6.1534
Si 3.7213 0.0000 0.0000
Si 7.4318 5.2267 5.2267
Si 2.4773 2.6317 6.1534
Si 4.9545 2.6317 2.6317
Si 2.4773 3.6776 0.0000
Si 4.9545 0.0000 5.1075
Si 1.2332 0.0000 0.0000
Si 2.4773 6.1534 2.6317
Si 2.4773 3.5583 3.5583
Si 4.9545 5.2267 3.5583
Si 2.4773 0.0000 3.6776
Fe 3.7159 4.3925 1.7574
Fe 6.1931 1.7574 4.3925
Fe 3.7159 7.0277 4.3925
Fe 3.7159 4.3925 7.0277
Fe 6.1931 4.3925 1.7574
Fe 6.1931 7.0277 4.3925
Fe 6.1931 4.3925 7.0277
Fe 3.7159 1.7574 4.3925
Ta 4.9545 2.3735 0.0000
Ta 7.4318 7.0955 7.0955
Ta 4.9545 0.0000 2.3735
Ta 4.9545 1.6895 7.0955
Ta 2.4773 6.4116 0.0000
Ta 2.4773 0.0000 6.4116
Ta 2.4773 1.6895 1.6895
Ta 4.9545 7.0955 1.6895
```

Values from the calculation:
SG: I4/mmm, No. 139
Volume (Å³ per cell): 382
Energy relative to the elements, uncorrected (eV per formula unit): -9.99

=====

Entry 5:
ZnAgPt2 | GGA-PBEsol | optimized geometry

extended XYZ file:
```
4
Lattice="-1.5632 1.0743 2.0507 -2.7857 -0.1512 -0.1417 -1.2438 -7.4342 4.8491" Properties=species:S:1:pos:R:3 pbc="T T T"
Zn -2.7963 -3.2555 3.3790
Pt -1.3945 -1.7657 1.7646
Pt -4.1982 -4.7454 4.9935
Ag 0.0000 0.0000 0.0000
```

Values from the calculation:
SG: R-3m, No. 166
Volume (Å³ per cell): 60
Energy of formation (eV per atom): -0.2531

=====

Entry 6:
BaSrZrBe2 | GGA-PBEsol | optimized geometry

extended XYZ file:
```
5
Lattice="-3.2940 -1.6899 3.4082 2.5849 -4.3020 0.3652 3.0605 2.1819 4.0399" Properties=species:S:1:pos:R:3 pbc="T T T"
Zr 1.1757 -1.9050 3.9066
Ba 0.0000 0.0000 0.0000
Be -1.6470 -0.8450 1.7041
Be 1.2924 -2.1510 0.1826
Sr 1.5303 1.0909 2.0199
```

Values from the calculation:
SG: P4/mmm, No. 123
Volume (Å³ per cell): 140
Energy of formation (eV per atom): 1.8934

=====

Entry 7:
PuSi2Pd2 | GGA-PBEsol | optimized geometry

extended XYZ file:
```
5
Lattice="4.0311 0.0000 0.0000 0.0000 4.0311 0.0000 -2.0155 -2.0155 5.0874" Properties=species:S:1:pos:R:3 pbc="T T T"
Pd 0.0000 2.0155 2.5437
Pd 2.0155 0.0000 2.5437
Si 0.0000 0.0000 3.9338
Si 2.0155 2.0155 1.1536
Pu 0.0000 0.0000 0.0000
```

Values from the calculation:
SG: I4/mmm, No. 139
Volume (Å³ per cell): 83
Energy relative to the elements, uncorrected (eV per formula unit): -3.37

=====

Entry 8:
NaAuNF2 | GGA-PBEsol | optimized geometry

extended XYZ file:
```
5
Lattice="-3.4153 -2.0059 -0.6470 0.6003 -2.1069 3.3626 -2.1877 2.9939 2.2664" Properties=species:S:1:pos:R:3 pbc="T T T"
Au -2.5014 -0.5594 2.4910
F -1.7077 -1.0029 -0.3235
F 0.3002 -1.0534 1.6813
Na 0.0000 0.0000 0.0000
N -1.0938 1.4969 1.1332
```

Values from the calculation:
SG: P4/mmm, No. 123
Volume (Å³ per cell): 70
Energy relative to the elements, uncorrected (eV per formula unit): 1.29

=====

Question: Number 1 is which compound?
Answer: LiTiTl3

=====

Question: Number 2 is which compound?
Answer: LiLaAl2Sn

=====

What did the fifth record say?
ZnAgPt2 | GGA-PBEsol | optimized geometry

extended XYZ file:
```
4
Lattice="-1.5632 1.0743 2.0507 -2.7857 -0.1512 -0.1417 -1.2438 -7.4342 4.8491" Properties=species:S:1:pos:R:3 pbc="T T T"
Zn -2.7963 -3.2555 3.3790
Pt -1.3945 -1.7657 1.7646
Pt -4.1982 -4.7454 4.9935
Ag 0.0000 0.0000 0.0000
```

Values from the calculation:
SG: R-3m, No. 166
Volume (Å³ per cell): 60
Energy of formation (eV per atom): -0.2531